VASP calculation (PBE+U) on NiSO2 after structural relaxation.

Properties
Energy (eV/atom): -4.84

Unit cell a=4.1749 b=8.3638 c=4.4899 alpha=123.16 beta=105.94 gamma=57.38
Last column: magnetic moment on the atom in μB.
Positions (direct):
Ni  0.4211  0.6111  0.1958  0.67
Ni  0.9483  0.1146  0.4216  1.64
O  0.3965  0.3190  0.3821  -0.04
O  0.0038  0.8918  0.8934  0.01
O  0.5285  0.8689  0.3990  0.01
O  0.9243  0.3736  0.9134  -0.01
S  0.3321  0.3452  0.0510  -0.14
S  0.9074  0.8780  0.5294  -0.02